[1]
Below is a relaxed NaLiPaBr6 crystal, with properties calculated at the PBE-GGA level.

Cell: 7.117 7.117 13.498 Å, 90.00 90.00 120.00°
Fractional positions:
Na1 0.000 0.000 0.000
Na2 0.000 0.000 0.500
Li1 0.333 0.667 0.250
Li2 0.667 0.333 0.750
Pa1 0.333 0.667 0.750
Pa2 0.667 0.333 0.250
Br1 0.002 0.353 0.132
Br2 0.002 0.649 0.368
Br3 0.351 0.353 0.368
Br4 0.351 0.998 0.132
Br5 0.353 0.002 0.632
Br6 0.353 0.351 0.868
Br7 0.647 0.649 0.132
Br8 0.647 0.998 0.368
Br9 0.649 0.002 0.868
Br10 0.649 0.647 0.632
Br11 0.998 0.351 0.632
Br12 0.998 0.647 0.868

N(E_F) = 0.1040 states/eV/atom
magnetization = 1.01 μB per formula unit
energy relative to the elements, uncorrected = -1505 meV/atom

---

[2]
Below is a relaxed Ac4Nd2Er3 crystal, with properties calculated at the PBE-GGA level.

Cell: 7.664 9.466 9.691 Å, 78.50 89.99 89.99°
Fractional positions:
Ac1 0.000 0.239 0.268
Ac2 0.000 0.761 0.732
Ac3 0.250 0.005 0.998
Ac4 0.250 0.496 0.504
Ac5 0.500 0.241 0.265
Ac6 0.500 0.759 0.735
Ac7 0.750 0.504 0.496
Ac8 0.750 0.995 0.002
Nd1 0.003 0.684 0.191
Nd2 0.251 0.890 0.387
Nd3 0.749 0.110 0.613
Nd4 0.997 0.316 0.809
Er1 0.253 0.111 0.614
Er2 0.254 0.497 0.998
Er3 0.497 0.686 0.192
Er4 0.503 0.314 0.808
Er5 0.746 0.503 0.002
Er6 0.747 0.889 0.386

formation energy = 0.10 eV/atom
N(E_F) = 1.5668 states/eV/atom
magnetization = 0.00 μB per formula unit

---

[3]
Below is a relaxed Na4MgTl4 crystal, with properties calculated at the PBE-GGA level.

Cell: 7.982 7.982 7.982 Å, 94.26 94.26 148.35°
Fractional positions:
Na1 0.001 0.679 0.680
Na2 0.321 0.001 0.322
Na3 0.679 0.999 0.678
Na4 0.999 0.321 0.320
Mg1 0.000 0.000 0.000
Tl1 0.337 0.662 0.999
Tl2 0.338 0.337 0.675
Tl3 0.662 0.663 0.325
Tl4 0.663 0.338 0.001

formation energy = -0.07 eV/atom
N(E_F) = 0.4739 states/eV/atom
magnetization = 0.00 μB per formula unit

---

[4]
Below is a relaxed FeTcHg2 crystal, with properties calculated at the PBE-GGA level.

Cell: 2.871 2.871 8.337 Å, 90.00 90.00 90.00°
Fractional positions:
Fe1 0.000 0.000 0.000
Tc1 0.000 0.000 0.500
Hg1 0.500 0.500 0.242
Hg2 0.500 0.500 0.758

formation energy = 0.62 eV/atom
N(E_F) = 0.6585 states/eV/atom
magnetization = 3.78 μB per formula unit
E above lowest polymorph = 288 meV per atom

---

[5]
Below is a relaxed KSrTe2N crystal, with properties calculated at the PBE-GGA level.

Cell: 6.142 6.142 4.958 Å, 90.00 90.00 90.00°
Fractional positions:
K1 0.000 0.000 0.000
Sr1 0.500 0.500 0.500
Te1 0.000 0.500 0.000
Te2 0.500 0.000 0.000
N1 0.000 0.000 0.500

N(E_F) = 1.0097 states/eV/atom
magnetization = 3.05 μB per formula unit
E above lowest polymorph = 341 meV per atom
energy relative to the elements, uncorrected = 491 meV/atom

---

[6]
Below is a relaxed LaAg2AuO4 crystal, with properties calculated at the PBE-GGA level.

Cell: 6.082 6.082 6.515 Å, 90.00 90.00 90.00°
Fractional positions:
La1 0.000 0.000 0.000
La2 0.500 0.500 0.500
Ag1 0.000 0.500 0.250
Ag2 0.000 0.500 0.750
Ag3 0.500 0.000 0.250
Ag4 0.500 0.000 0.750
Au1 0.000 0.000 0.500
Au2 0.500 0.500 0.000
O1 0.204 0.204 0.741
O2 0.204 0.796 0.259
O3 0.296 0.296 0.241
O4 0.296 0.704 0.759
O5 0.704 0.296 0.759
O6 0.704 0.704 0.241
O7 0.796 0.204 0.259
O8 0.796 0.796 0.741

N(E_F) = 0.7401 states/eV/atom
magnetization = 0.00 μB per formula unit
energy relative to the elements, uncorrected = -886 meV/atom

---

[7]
Below is a relaxed YCd2Re2 crystal, with properties calculated at the PBE-GGA level.

Cell: 4.312 4.312 11.789 Å, 90.00 90.00 90.00°
Fractional positions:
Y1 0.000 0.000 0.000
Y2 0.500 0.500 0.500
Cd1 0.000 0.500 0.250
Cd2 0.000 0.500 0.750
Cd3 0.500 0.000 0.250
Cd4 0.500 0.000 0.750
Re1 0.000 0.000 0.406
Re2 0.000 0.000 0.594
Re3 0.500 0.500 0.094
Re4 0.500 0.500 0.906

formation energy = 0.48 eV/atom
N(E_F) = 0.9943 states/eV/atom
magnetization = 0.00 μB per formula unit
E above lowest polymorph = 0 meV per atom

---

[8]
Below is a relaxed Tb3NdSm2Tm6 crystal, with properties calculated at the PBE-GGA level.

Cell: 6.149 6.149 11.671 Å, 95.02 95.02 119.97°
Fractional positions:
Tb1 0.000 0.000 0.000
Tb2 0.333 0.667 0.000
Tb3 0.667 0.333 0.000
Nd1 0.500 0.500 0.500
Sm1 0.167 0.833 0.500
Sm2 0.833 0.167 0.500
Tm1 0.082 0.415 0.248
Tm2 0.251 0.251 0.752
Tm3 0.415 0.082 0.248
Tm4 0.585 0.918 0.752
Tm5 0.749 0.749 0.248
Tm6 0.918 0.585 0.752

formation energy = 0.02 eV/atom
N(E_F) = 1.2257 states/eV/atom
magnetization = 0.00 μB per formula unit